The following is a PBE calculation of an optimized crystal structure of La3Be, from Alexandria.

The formation energy is 0.247 eV per atom. The density of states at the Fermi level comes out at 1.101 states/eV/atom. The calculation puts the energy above the most stable polymorph in this dataset at 134 meV per atom.

It has space group P2/m (No. 10), with a = 3.849 Å, b = 4.889 Å, c = 6.420 Å, α = 90.00°, β = 104.70° and γ = 90.00°. The distinct sites, in fractional coordinates, are La at (0.000, 0.000, 0.000), La at (0.282, 0.500, 0.714) and Be at (0.500, 0.000, 0.500).